Record 1
# YHoCdRu

An optimized crystal structure of YHoCdRu (PBE-GGA, Alexandria via LeMat-Bulk).

Properties
energy relative to the lowest polymorph listed for this composition	0.44	eV/f.u.
calculated density	8.6	g/cm³
E_form	-1.2	eV/f.u.
uncorrected energy	-5.607	eV/atom

Cell: 5.027 5.027 5.027 Å, 60.00 60.00 60.00°
Fractional coordinates of all 4 atoms:
Y 0.000 0.000 0.000
Ho 0.500 0.500 0.500
Ru 0.750 0.750 0.750
Cd 0.250 0.250 0.250

---

Record 2
# Tm3BC3

An optimized crystal structure of Tm3BC3 (PBE-GGA, Alexandria via LeMat-Bulk).

Properties
energy relative to the lowest polymorph listed for this composition	0.00	eV/f.u.
calculated density	9.0	g/cm³
E_form	-2.7	eV/f.u.
uncorrected energy	-7.209	eV/atom

Cell: 5.054 6.833 6.833 Å, 120.00 90.00 90.00°
Fractional coordinates of all 14 atoms:
C 0.250 0.690 0.588
C 0.750 0.101 0.690
C 0.250 0.899 0.310
Tm 0.750 0.933 0.294
Tm 0.750 0.361 0.067
Tm 0.750 0.706 0.639
Tm 0.250 0.294 0.361
Tm 0.250 0.639 0.933
C 0.250 0.412 0.101
C 0.750 0.588 0.899
C 0.750 0.310 0.412
B 0.250 0.667 0.333
B 0.750 0.333 0.667
Tm 0.250 0.067 0.706

---

Record 3
# Sc2TlRuAu

An optimized crystal structure of Sc2TlRuAu (PBE-GGA, Alexandria via LeMat-Bulk).

Properties
calculated density	6.9	g/cm³
E_form	5.9	eV/f.u.
uncorrected energy	-4.333	eV/atom

Cell: 5.328 5.002 5.328 Å, 90.00 90.00 90.00°
Fractional coordinates of all 5 atoms:
Sc 0.000 0.000 0.500
Ru 0.500 0.500 0.500
Tl 0.000 0.000 0.000
Sc 0.500 0.000 0.000
Au 0.000 0.500 0.000

---

Record 4
# Sr2RhCl

An optimized crystal structure of Sr2RhCl (PBE-GGA, Alexandria via LeMat-Bulk).

Properties
energy relative to the lowest polymorph listed for this composition	0.30	eV/f.u.
calculated density	4.5	g/cm³
uncorrected energy	-4.048	eV/atom
E_form (uncorrected)	-87.53	kJ/mol of atoms

Cell: 8.363 8.363 8.363 Å, 152.84 154.30 37.74°
Fractional coordinates of all 4 atoms:
Sr 0.214 0.714 0.500
Sr 0.937 0.937 0.000
Rh 0.803 0.303 0.500
Cl 0.546 0.546 0.000

---

Record 5
# PaAl3Au4

An optimized crystal structure of PaAl3Au4 (PBE-GGA, Alexandria via LeMat-Bulk).

Properties
calculated density	12.2	g/cm³
E_form	-3.3	eV/f.u.
uncorrected energy	-4.639	eV/atom

Cell: 4.414 4.414 9.234 Å, 76.17 76.17 60.00°
Fractional coordinates of all 8 atoms:
Au 0.606 0.606 0.182
Al 0.754 0.754 0.737
Au 0.394 0.394 0.818
Al 0.500 0.500 0.500
Al 0.246 0.246 0.263
Au 0.129 0.129 0.613
Au 0.871 0.871 0.387
Pa 0.000 0.000 0.000

---

Record 6
# YMn2Te

An optimized crystal structure of YMn2Te (PBE-GGA, Alexandria via LeMat-Bulk).

Properties
calculated density	6.3	g/cm³
uncorrected energy	-6.820	eV/atom
E_form (uncorrected)	15.99	kJ/mol of atoms

Cell: 4.240 3.912 5.194 Å, 89.86 90.00 90.00°
Fractional coordinates of all 4 atoms:
Mn 0.000 0.248 0.949
Y 0.500 0.750 0.750
Te 0.500 0.250 0.250
Mn 0.000 0.252 0.551

---

Record 7
# LiTcHg2

An optimized crystal structure of LiTcHg2 (PBE-GGA, Alexandria via LeMat-Bulk).

Properties
energy relative to the lowest polymorph listed for this composition	0.40	eV/f.u.
calculated density	12.0	g/cm³
E_form	1.0	eV/f.u.
uncorrected energy	-2.964	eV/atom

Cell: 3.050 3.050 7.544 Å, 90.00 90.00 89.97°
Fractional coordinates of all 4 atoms:
Li 0.500 0.500 0.250
Tc 0.500 0.500 0.750
Hg 0.000 0.000 0.489
Hg 0.000 0.000 0.011

---

Record 8
# SrGa2Au

An optimized crystal structure of SrGa2Au (PBE-GGA, Alexandria via LeMat-Bulk).

Properties
calculated density	6.5	g/cm³
E_form	-1.5	eV/f.u.
uncorrected energy	-3.122	eV/atom

Cell: 4.827 4.827 9.890 Å, 75.87 75.87 90.00°
Fractional coordinates of all 8 atoms:
Sr 0.500 0.500 0.000
Au 0.750 0.250 0.500
Ga 0.952 0.625 0.250
Sr 0.250 0.750 0.500
Ga 0.875 0.048 0.750
Ga 0.798 0.125 0.250
Au 0.000 0.000 0.000
Ga 0.375 0.202 0.750

---

Record 9
# Zr2Al2GaRu5

An optimized crystal structure of Zr2Al2GaRu5 (PBE-GGA, Alexandria via LeMat-Bulk).

Properties
calculated density	8.6	g/cm³
E_form	-4.3	eV/f.u.
uncorrected energy	-7.830	eV/atom

Cell: 3.296 9.779 9.779 Å, 90.00 90.00 90.00°
Fractional coordinates of all 20 atoms:
Ga 0.000 0.000 0.000
Zr 0.000 0.328 0.828
Ru 0.500 0.199 0.067
Ru 0.500 0.301 0.567
Ru 0.500 0.933 0.199
Al 0.000 0.871 0.371
Ru 0.500 0.067 0.801
Ru 0.500 0.500 0.000
Al 0.000 0.629 0.871
Zr 0.000 0.828 0.672
Ru 0.500 0.801 0.933
Al 0.000 0.371 0.129
Zr 0.000 0.672 0.172
Ru 0.500 0.433 0.301
Zr 0.000 0.172 0.328
Al 0.000 0.129 0.629
Ru 0.500 0.000 0.500
Ga 0.000 0.500 0.500
Ru 0.500 0.699 0.433
Ru 0.500 0.567 0.699

---

Record 10
# Cu3ReN

An optimized crystal structure of Cu3ReN (PBE-GGA, Alexandria via LeMat-Bulk).

Properties
energy relative to the lowest polymorph listed for this composition	8.96	eV/f.u.
calculated density	6.6	g/cm³
uncorrected energy	-3.904	eV/atom
E_form (uncorrected)	261.34	kJ/mol of atoms

Cell: 4.623 4.623 4.623 Å, 90.00 90.00 90.00°
Fractional coordinates of all 5 atoms:
Cu 0.000 0.500 0.000
Re 0.000 0.000 0.000
Cu 0.000 0.000 0.500
Cu 0.500 0.000 0.000
N 0.500 0.500 0.500

---

Record 11
# Nb3CdF

An optimized crystal structure of Nb3CdF (PBE-GGA, Alexandria via LeMat-Bulk).

Properties
energy relative to the lowest polymorph listed for this composition	10.04	eV/f.u.
calculated density	5.2	g/cm³
uncorrected energy	-4.575	eV/atom
E_form (uncorrected)	195.28	kJ/mol of atoms

Cell: 5.075 5.075 5.075 Å, 90.00 90.00 90.00°
Fractional coordinates of all 5 atoms:
Nb 0.000 0.500 0.000
F 0.500 0.500 0.500
Cd 0.000 0.000 0.000
Nb 0.000 0.000 0.500
Nb 0.500 0.000 0.000

---

Record 12
# KNdAgSe3

An optimized crystal structure of KNdAgSe3 (PBE-GGA, Alexandria via LeMat-Bulk).

Properties
calculated density	4.9	g/cm³
uncorrected energy	-4.301	eV/atom
E_form (uncorrected)	-106.76	kJ/mol of atoms

Cell: 4.263 7.827 11.086 Å, 90.00 90.00 105.80°
Fractional coordinates of all 12 atoms:
Nd 0.000 0.000 0.500
Se 0.631 0.263 0.058
Se 0.369 0.737 0.942
Se 0.923 0.846 0.250
K 0.751 0.503 0.750
Se 0.369 0.737 0.558
Se 0.077 0.154 0.750
Ag 0.530 0.060 0.250
Nd 0.000 0.000 0.000
Se 0.631 0.263 0.442
K 0.249 0.497 0.250
Ag 0.470 0.940 0.750

---

The highest uncorrected energy belongs to which entry?
LiTcHg2

---

Look up the uncorrected energy of the eleventh one.
-4.575 eV/atom